## i
First-principles (PBE) data for Pm2ErZr after structural relaxation, as listed in Alexandria.

Output
The volume comes out at 29.98 Å³/atom. The space-group type is No. 8. The density of states at the Fermi level comes out at 6.1 states/eV per cell.

Lattice parameters (Å, degrees): 3.494 3.494 11.528 81.24 81.24 59.96
Atoms (fractional coordinates):
1 Zr 0.667 0.667 0.999
2 Pm 0.080 0.080 0.762
3 Er 0.499 0.499 0.502
4 Pm 0.255 0.255 0.237

## ii
First-principles (PBE) data for Pm2ErZr after structural relaxation, as listed in Alexandria.

Output
The volume comes out at 29.95 Å³/atom. The space-group type is No. 225. The density of states at the Fermi level comes out at 6.4 states/eV per cell.

Lattice parameters (Å, degrees): 5.533 5.533 5.533 60.00 60.00 60.00
Last column: magnetic moment on the atom in μB.
Atoms (fractional coordinates):
1 Pm 0.250 0.250 0.250  0.14
2 Zr 0.500 0.500 0.500  0.61
3 Pm 0.750 0.750 0.750  0.14
4 Er 0.000 0.000 0.000  0.02

How do the structures above rank in stability at the extremes? i comes first and ii comes last.